Entry from Alexandria via LeMat-Bulk: a relaxed structure of CsCd2Au (PBE).

Final energy   -1.524 eV per atom
Total magnetization   0.00 μB/cell

a b c (Å): 3.7723 3.7723 8.6065
angles (deg): 90.00 90.00 90.00
Last column: nearest neighbours and their distance in Å.
Positions (direct):
Cs 0.0000 0.0000 0.0000  4 Cs 3.77, 8 Cd 3.88
Cd 0.5000 0.5000 0.3267  1 Cd 2.98, 4 Au 3.06
Cd 0.5000 0.5000 0.6733  1 Cd 2.98, 4 Au 3.06
Au 0.0000 0.0000 0.5000  8 Cd 3.06